Record 1
LiSbTe2: optimized geometry, PBE. Values from VASP.

Geometry as Quantum ESPRESSO input:
```
&SYSTEM
  ibrav = 0, nat = 4, ntyp = 3
/
ATOMIC_SPECIES
Li 6.94 Li.upf
Sb 121.76 Sb.upf
Te 127.60 Te.upf
CELL_PARAMETERS angstrom
7.105 -2.135 0.000
7.105 2.135 0.000
-0.105 0.000 4.291
ATOMIC_POSITIONS crystal
Li 0.000 0.000 0.000
Sb 0.330 0.330 0.483
Te 0.524 0.524 0.505
Te 0.786 0.786 0.986
```

The value obtained for the energy relative to the elements, uncorrected is -0.395 eV per atom. The calculation puts the density of states at the Fermi level at 0.2 states/eV/f.u.

=====

Record 2
InGe2BiAs: optimized geometry, PBE. Values from VASP.

Geometry as Quantum ESPRESSO input:
```
&SYSTEM
  ibrav = 0, nat = 5, ntyp = 4
/
ATOMIC_SPECIES
In 114.82 In.upf
Ge 72.64 Ge.upf
Bi 208.98 Bi.upf
As 74.92 As.upf
CELL_PARAMETERS angstrom
5.537 0.000 0.000
0.000 5.537 0.000
0.000 0.000 5.700
ATOMIC_POSITIONS crystal
In 0.000 0.000 0.000
Ge 0.000 0.500 0.500
Ge 0.500 0.000 0.500
Bi 0.000 0.000 0.500
As 0.500 0.500 0.000
```

The formation enthalpy at 0 K comes out at 1.0693 eV/atom. The calculation puts the density of states at the Fermi level at 3.3 states/eV/f.u.

=====

Record 3
Tm2AlCd2: optimized geometry, PBE. Values from VASP.

Geometry as Quantum ESPRESSO input:
```
&SYSTEM
  ibrav = 0, nat = 5, ntyp = 3
/
ATOMIC_SPECIES
Tm 168.93 Tm.upf
Al 26.98 Al.upf
Cd 112.41 Cd.upf
CELL_PARAMETERS angstrom
2.345 -7.444 0.000
2.345 7.444 0.000
0.000 0.000 3.339
ATOMIC_POSITIONS crystal
Tm 0.108 0.892 0.000
Tm 0.892 0.108 0.000
Al 0.500 0.500 0.500
Cd 0.303 0.697 0.500
Cd 0.697 0.303 0.500
```

The formation enthalpy at 0 K comes out at -0.2714 eV/atom. The calculation puts the density of states at the Fermi level at 4.4 states/eV/f.u.

=====

Record 4
Sr2HgBiAs: optimized geometry, PBE. Values from VASP.

Geometry as Quantum ESPRESSO input:
```
&SYSTEM
  ibrav = 0, nat = 10, ntyp = 4
/
ATOMIC_SPECIES
Sr 87.62 Sr.upf
Hg 200.59 Hg.upf
Bi 208.98 Bi.upf
As 74.92 As.upf
CELL_PARAMETERS angstrom
8.143 0.000 0.000
0.000 4.664 0.000
-2.709 0.000 9.160
ATOMIC_POSITIONS crystal
Sr 0.187 0.250 0.401
Sr 0.220 0.250 0.978
Sr 0.780 0.750 0.022
Sr 0.813 0.750 0.599
Hg 0.493 0.750 0.262
Hg 0.507 0.250 0.738
Bi 0.279 0.750 0.703
Bi 0.721 0.250 0.297
As 0.160 0.750 0.181
As 0.840 0.250 0.819
```

The formation enthalpy at 0 K comes out at -0.7608 eV/atom. The calculation puts the density of states at the Fermi level at 0.2 states/eV/f.u.

=====

Record 5
SrCaSe: optimized geometry, PBE. Values from VASP.

Geometry as Quantum ESPRESSO input:
```
&SYSTEM
  ibrav = 0, nat = 3, ntyp = 3
/
ATOMIC_SPECIES
Sr 87.62 Sr.upf
Ca 40.08 Ca.upf
Se 78.96 Se.upf
CELL_PARAMETERS angstrom
0.000 3.913 3.913
3.913 0.000 3.913
3.913 3.913 0.000
ATOMIC_POSITIONS crystal
Sr 0.000 0.000 0.000
Ca 0.250 0.250 0.250
Se 0.750 0.750 0.750
```

The value obtained for the energy relative to the elements, uncorrected is -0.276 eV per atom. The calculation puts the energy above the most stable polymorph in this dataset at 1.002 eV/atom. The calculation puts the density of states at the Fermi level at 1.6 states/eV/f.u.

=====

Record 6
PrEr3Pb2: optimized geometry, PBE. Values from VASP.

Geometry as Quantum ESPRESSO input:
```
&SYSTEM
  ibrav = 0, nat = 12, ntyp = 3
/
ATOMIC_SPECIES
Pr 140.91 Pr.upf
Er 167.26 Er.upf
Pb 207.20 Pb.upf
CELL_PARAMETERS angstrom
9.134 -2.310 0.000
9.134 2.310 0.000
-3.739 0.000 8.805
ATOMIC_POSITIONS crystal
Pr 0.114 0.114 0.135
Pr 0.886 0.886 0.865
Er 0.058 0.058 0.687
Er 0.307 0.307 0.113
Er 0.360 0.360 0.516
Er 0.640 0.640 0.484
Er 0.693 0.693 0.887
Er 0.942 0.942 0.313
Pb 0.243 0.243 0.707
Pb 0.488 0.488 0.151
Pb 0.512 0.512 0.849
Pb 0.757 0.757 0.293
```

The formation enthalpy at 0 K comes out at -0.3219 eV/atom. The calculation puts the energy above the most stable polymorph in this dataset at 0.055 eV/atom. The calculation puts the density of states at the Fermi level at 7.4 states/eV/f.u.

=====

Record 7
LiCeLuSi: optimized geometry, PBE. Values from VASP.

Geometry as Quantum ESPRESSO input:
```
&SYSTEM
  ibrav = 0, nat = 4, ntyp = 4
/
ATOMIC_SPECIES
Li 6.94 Li.upf
Ce 140.12 Ce.upf
Lu 174.97 Lu.upf
Si 28.09 Si.upf
CELL_PARAMETERS angstrom
0.000 3.508 3.508
3.508 0.000 3.508
3.508 3.508 0.000
ATOMIC_POSITIONS crystal
Li 0.000 0.000 0.000
Ce 0.750 0.750 0.750
Lu 0.250 0.250 0.250
Si 0.500 0.500 0.500
```

The value obtained for the energy relative to the elements, uncorrected is -0.263 eV per atom. The calculation puts the density of states at the Fermi level at 7.1 states/eV/f.u.

=====

Record 8
La2DyAl: optimized geometry, PBE. Values from VASP.

Geometry as Quantum ESPRESSO input:
```
&SYSTEM
  ibrav = 0, nat = 4, ntyp = 3
/
ATOMIC_SPECIES
La 138.91 La.upf
Dy 162.50 Dy.upf
Al 26.98 Al.upf
CELL_PARAMETERS angstrom
4.859 0.000 0.000
0.000 4.859 0.000
0.000 0.000 4.995
ATOMIC_POSITIONS crystal
La 0.000 0.500 0.000
La 0.500 0.000 0.000
Dy 0.000 0.000 0.500
Al 0.500 0.500 0.500
```

The formation enthalpy at 0 K comes out at -0.1657 eV/atom. The calculation puts the energy above the most stable polymorph in this dataset at 0.019 eV/atom. The calculation puts the density of states at the Fermi level at 6.0 states/eV/f.u.

=====

Record 9
Sm3Dy2Ho6Zr: optimized geometry, PBE. Values from VASP.

Geometry as Quantum ESPRESSO input:
```
&SYSTEM
  ibrav = 0, nat = 12, ntyp = 4
/
ATOMIC_SPECIES
Sm 150.36 Sm.upf
Dy 162.50 Dy.upf
Ho 164.93 Ho.upf
Zr 91.22 Zr.upf
CELL_PARAMETERS angstrom
3.053 -5.280 0.000
3.053 5.280 0.000
-2.024 0.000 11.461
ATOMIC_POSITIONS crystal
Sm 0.000 0.000 0.000
Sm 0.334 0.666 0.000
Sm 0.666 0.334 0.000
Dy 0.167 0.833 0.500
Dy 0.833 0.167 0.500
Ho 0.093 0.419 0.257
Ho 0.254 0.254 0.743
Ho 0.419 0.093 0.257
Ho 0.581 0.907 0.743
Ho 0.746 0.746 0.257
Ho 0.907 0.581 0.743
Zr 0.500 0.500 0.500
```

The formation enthalpy at 0 K comes out at 0.0433 eV/atom. The calculation puts the density of states at the Fermi level at 15.0 states/eV/f.u.

=====

Record 10
Ce4Pr3ThSe8: optimized geometry, PBE. Values from VASP.

Geometry as Quantum ESPRESSO input:
```
&SYSTEM
  ibrav = 0, nat = 16, ntyp = 4
/
ATOMIC_SPECIES
Ce 140.12 Ce.upf
Pr 140.91 Pr.upf
Th 232.04 Th.upf
Se 78.96 Se.upf
CELL_PARAMETERS angstrom
4.226 2.440 6.896
-4.226 2.440 6.896
0.000 -4.880 6.896
ATOMIC_POSITIONS crystal
Ce 0.000 0.000 0.000
Ce 0.000 0.500 0.500
Ce 0.500 0.000 0.500
Ce 0.500 0.500 0.000
Pr 0.000 0.000 0.500
Pr 0.000 0.500 0.000
Pr 0.500 0.000 0.000
Th 0.500 0.500 0.500
Se 0.250 0.250 0.747
Se 0.250 0.747 0.250
Se 0.252 0.252 0.252
Se 0.253 0.750 0.750
Se 0.747 0.250 0.250
Se 0.748 0.748 0.748
Se 0.750 0.253 0.750
Se 0.750 0.750 0.253
```

The value obtained for the energy relative to the elements, uncorrected is -1.798 eV per atom. The calculation puts the density of states at the Fermi level at 27.3 states/eV/f.u.

=====

Record 11
EuDyPuIn: optimized geometry, PBE. Values from VASP.

Geometry as Quantum ESPRESSO input:
```
&SYSTEM
  ibrav = 0, nat = 4, ntyp = 4
/
ATOMIC_SPECIES
Eu 151.96 Eu.upf
Dy 162.50 Dy.upf
Pu 244.00 Pu.upf
In 114.82 In.upf
CELL_PARAMETERS angstrom
0.000 3.882 3.882
3.882 0.000 3.882
3.882 3.882 0.000
ATOMIC_POSITIONS crystal
Eu 0.000 0.000 0.000
Dy 0.500 0.500 0.500
Pu 0.750 0.750 0.750
In 0.250 0.250 0.250
```

The formation enthalpy at 0 K comes out at 0.0204 eV/atom. The calculation puts the density of states at the Fermi level at 18.2 states/eV/f.u.

=====

Record 12
AlZn2Hg: optimized geometry, PBE. Values from VASP.

Geometry as Quantum ESPRESSO input:
```
&SYSTEM
  ibrav = 0, nat = 4, ntyp = 3
/
ATOMIC_SPECIES
Al 26.98 Al.upf
Zn 65.41 Zn.upf
Hg 200.59 Hg.upf
CELL_PARAMETERS angstrom
2.904 0.000 0.000
0.000 4.011 0.000
-0.064 0.000 6.140
ATOMIC_POSITIONS crystal
Al 0.000 0.000 0.000
Zn 0.499 0.500 0.779
Zn 0.501 0.500 0.221
Hg 0.000 0.000 0.500
```

The formation enthalpy at 0 K comes out at 0.1210 eV/atom. The calculation puts the energy above the most stable polymorph in this dataset at 0.013 eV/atom. The calculation puts the density of states at the Fermi level at 1.6 states/eV/f.u.

=====

Record 13
KVCu2Br8: optimized geometry, PBE. Values from VASP.

Geometry as Quantum ESPRESSO input:
```
&SYSTEM
  ibrav = 0, nat = 12, ntyp = 4
/
ATOMIC_SPECIES
K 39.10 K.upf
V 50.94 V.upf
Cu 63.55 Cu.upf
Br 79.90 Br.upf
CELL_PARAMETERS angstrom
6.484 0.000 0.000
0.483 7.121 0.000
1.158 2.756 8.236
ATOMIC_POSITIONS crystal
K 0.000 0.000 0.000
V 0.000 0.500 0.500
Cu 0.470 0.528 0.816
Cu 0.530 0.472 0.184
Br 0.101 0.491 0.774
Br 0.156 0.821 0.376
Br 0.339 0.327 0.445
Br 0.482 0.770 0.960
Br 0.518 0.230 0.040
Br 0.661 0.673 0.555
Br 0.844 0.179 0.624
Br 0.899 0.509 0.226
```

The value obtained for the energy relative to the elements, uncorrected is -0.716 eV per atom. The calculation puts the density of states at the Fermi level at 8.0 states/eV/f.u.